# Mg2HgCl

A relaxed Mg2HgCl crystal (PBE, the Alexandria database). Values from VASP.

raw total energy	-1.826	eV/atom
ρ	5.1	g/cm3
E above lowest polymorph	54	kJ/mol of formula units

Cell and atoms, written as Quantum ESPRESSO input:
```
&SYSTEM
  ibrav = 0, nat = 4, ntyp = 3
/
ATOMIC_SPECIES
Mg 24.30 Mg.upf
Hg 200.59 Hg.upf
Cl 35.45 Cl.upf
CELL_PARAMETERS angstrom
1.7767 -3.0695 0.0000
1.7767 3.0695 0.0000
0.0000 0.0000 8.5087
ATOMIC_POSITIONS crystal
Mg 0.0000 0.0000 0.2458
Mg 0.0000 0.0000 0.7542
Hg 0.5000 0.5000 0.5000
Cl 0.5000 0.5000 0.0000
```


# MgHgCl2

A relaxed MgHgCl2 crystal (PBE, the Alexandria database). Values from VASP.

raw total energy	-2.773	eV/atom
ρ	3.8	g/cm3
E above lowest polymorph	0	kJ/mol of formula units

Cell and atoms, written as Quantum ESPRESSO input:
```
&SYSTEM
  ibrav = 0, nat = 4, ntyp = 3
/
ATOMIC_SPECIES
Mg 24.30 Mg.upf
Hg 200.59 Hg.upf
Cl 35.45 Cl.upf
CELL_PARAMETERS angstrom
1.8279 1.0554 11.0391
-1.8279 1.0554 11.0391
0.0000 -2.1107 11.0391
ATOMIC_POSITIONS crystal
Mg 0.0000 0.0000 0.0000
Hg 0.5000 0.5000 0.5000
Cl 0.3750 0.3750 0.3750
Cl 0.6250 0.6250 0.6250
```


# MgHgCl2

A relaxed MgHgCl2 crystal (PBE, the Alexandria database). Values from VASP.

raw total energy	-2.605	eV/atom
ρ	3.7	g/cm3
E above lowest polymorph	65	kJ/mol of formula units

Cell and atoms, written as Quantum ESPRESSO input:
```
&SYSTEM
  ibrav = 0, nat = 4, ntyp = 3
/
ATOMIC_SPECIES
Mg 24.30 Mg.upf
Hg 200.59 Hg.upf
Cl 35.45 Cl.upf
CELL_PARAMETERS angstrom
-1.7404 3.5801 5.2827
1.7404 -3.5801 5.2827
1.7404 3.5801 -5.2827
ATOMIC_POSITIONS crystal
Mg 0.0000 0.0000 0.0000
Hg 0.5000 0.5000 0.0000
Cl 0.1570 0.6570 0.5000
Cl 0.8430 0.3430 0.5000
```


# Mg2HgCl

A relaxed Mg2HgCl crystal (PBE, the Alexandria database). Values from VASP.

raw total energy	-1.776	eV/atom
ρ	5.1	g/cm3
E above lowest polymorph	74	kJ/mol of formula units

Cell and atoms, written as Quantum ESPRESSO input:
```
&SYSTEM
  ibrav = 0, nat = 4, ntyp = 3
/
ATOMIC_SPECIES
Mg 24.30 Mg.upf
Hg 200.59 Hg.upf
Cl 35.45 Cl.upf
CELL_PARAMETERS angstrom
-1.6681 2.5023 5.5563
1.6681 -2.5023 5.5563
1.6681 2.5023 -5.5563
ATOMIC_POSITIONS crystal
Mg 0.0000 0.0000 0.0000
Mg 0.7622 0.2622 0.5000
Hg 0.4593 0.4593 0.0000
Cl 0.1801 0.6801 0.5000
```


# Mg3HgCl8

A relaxed Mg3HgCl8 crystal (PBE, the Alexandria database). Values from VASP.

raw total energy	-3.174	eV/atom
ρ	2.9	g/cm3

Cell and atoms, written as Quantum ESPRESSO input:
```
&SYSTEM
  ibrav = 0, nat = 12, ntyp = 3
/
ATOMIC_SPECIES
Mg 24.30 Mg.upf
Hg 200.59 Hg.upf
Cl 35.45 Cl.upf
CELL_PARAMETERS angstrom
6.5058 -3.7566 0.0000
6.5058 3.7566 0.0000
-4.4166 0.0000 6.5860
ATOMIC_POSITIONS crystal
Mg 0.0000 0.0000 0.0000
Mg 0.0000 0.5000 0.0000
Mg 0.5000 0.0000 0.0000
Hg 0.5000 0.5000 0.0000
Cl 0.2200 0.7490 0.2140
Cl 0.2371 0.2371 0.2072
Cl 0.2511 0.2511 0.7860
Cl 0.2510 0.7800 0.7860
Cl 0.7490 0.2200 0.2140
Cl 0.7489 0.7489 0.2140
Cl 0.7629 0.7629 0.7928
Cl 0.7800 0.2510 0.7860
```


# MgHgCl2

A relaxed MgHgCl2 crystal (PBE, the Alexandria database). Values from VASP.

raw total energy	-2.771	eV/atom
ρ	4.1	g/cm3
E above lowest polymorph	1	kJ/mol of formula units

Cell and atoms, written as Quantum ESPRESSO input:
```
&SYSTEM
  ibrav = 0, nat = 4, ntyp = 3
/
ATOMIC_SPECIES
Mg 24.30 Mg.upf
Hg 200.59 Hg.upf
Cl 35.45 Cl.upf
CELL_PARAMETERS angstrom
3.1693 -1.8292 0.0000
3.1693 1.8292 0.0000
-1.9351 0.0000 10.3002
ATOMIC_POSITIONS crystal
Mg 0.0000 0.0000 0.0000
Hg 0.5000 0.5000 0.5000
Cl 0.2926 0.2926 0.8662
Cl 0.7074 0.7074 0.1338
```


# Mg2HgCl

A relaxed Mg2HgCl crystal (PBE, the Alexandria database). Values from VASP.

raw total energy	-1.783	eV/atom
ρ	5.3	g/cm3
E above lowest polymorph	71	kJ/mol of formula units

Cell and atoms, written as Quantum ESPRESSO input:
```
&SYSTEM
  ibrav = 0, nat = 4, ntyp = 3
/
ATOMIC_SPECIES
Mg 24.30 Mg.upf
Hg 200.59 Hg.upf
Cl 35.45 Cl.upf
CELL_PARAMETERS angstrom
3.7900 -3.7028 0.0000
3.7900 3.7028 0.0000
-0.5746 0.0000 3.1643
ATOMIC_POSITIONS crystal
Mg 0.0000 0.5000 0.0000
Mg 0.5000 0.0000 0.0000
Hg 0.0000 0.0000 0.5000
Cl 0.5000 0.5000 0.5000
```


# MgHgCl2

A relaxed MgHgCl2 crystal (PBE, the Alexandria database). Values from VASP.

raw total energy	-2.541	eV/atom
ρ	4.0	g/cm3
E above lowest polymorph	90	kJ/mol of formula units

Cell and atoms, written as Quantum ESPRESSO input:
```
&SYSTEM
  ibrav = 0, nat = 4, ntyp = 3
/
ATOMIC_SPECIES
Mg 24.30 Mg.upf
Hg 200.59 Hg.upf
Cl 35.45 Cl.upf
CELL_PARAMETERS angstrom
5.7560 0.0000 0.0000
0.0000 3.6544 0.0000
-2.3119 0.0000 5.9004
ATOMIC_POSITIONS crystal
Mg 0.0000 0.0000 0.0000
Hg 0.6880 0.5000 0.1686
Cl 0.0054 0.5000 0.7582
Cl 0.3553 0.0000 0.3242
```


# Mg2HgCl

A relaxed Mg2HgCl crystal (PBE, the Alexandria database). Values from VASP.

raw total energy	-1.733	eV/atom
ρ	5.0	g/cm3
E above lowest polymorph	90	kJ/mol of formula units

Cell and atoms, written as Quantum ESPRESSO input:
```
&SYSTEM
  ibrav = 0, nat = 4, ntyp = 3
/
ATOMIC_SPECIES
Mg 24.30 Mg.upf
Hg 200.59 Hg.upf
Cl 35.45 Cl.upf
CELL_PARAMETERS angstrom
-2.0225 2.0225 5.7664
2.0225 -2.0225 5.7664
2.0225 2.0225 -5.7664
ATOMIC_POSITIONS crystal
Mg 0.0000 0.0000 0.0000
Mg 0.7500 0.2500 0.5000
Hg 0.5000 0.5000 0.0000
Cl 0.2500 0.7500 0.5000
```


# Mg2HgCl

A relaxed Mg2HgCl crystal (PBE, the Alexandria database). Values from VASP.

raw total energy	-1.845	eV/atom
ρ	4.8	g/cm3
E above lowest polymorph	47	kJ/mol of formula units

Cell and atoms, written as Quantum ESPRESSO input:
```
&SYSTEM
  ibrav = 0, nat = 4, ntyp = 3
/
ATOMIC_SPECIES
Mg 24.30 Mg.upf
Hg 200.59 Hg.upf
Cl 35.45 Cl.upf
CELL_PARAMETERS angstrom
3.3749 0.0000 0.0000
0.0000 3.3749 0.0000
0.0000 0.0000 8.7013
ATOMIC_POSITIONS crystal
Mg 0.0000 0.0000 0.0000
Mg 0.5000 0.5000 0.2498
Hg 0.5000 0.5000 0.7948
Cl 0.0000 0.0000 0.4022
```


# MgHg2Cl6

A relaxed MgHg2Cl6 crystal (PBE, the Alexandria database). Values from VASP.

raw total energy	-2.451	eV/atom
ρ	4.2	g/cm3
E above lowest polymorph	0	kJ/mol of formula units

Cell and atoms, written as Quantum ESPRESSO input:
```
&SYSTEM
  ibrav = 0, nat = 9, ntyp = 3
/
ATOMIC_SPECIES
Mg 24.30 Mg.upf
Hg 200.59 Hg.upf
Cl 35.45 Cl.upf
CELL_PARAMETERS angstrom
3.8683 0.0000 0.0000
0.6682 6.7412 0.0000
0.7094 1.6883 9.6588
ATOMIC_POSITIONS crystal
Mg 0.0000 0.0000 0.0000
Hg 0.3693 0.4334 0.3075
Hg 0.6307 0.5666 0.6925
Cl 0.0239 0.3647 0.8506
Cl 0.2310 0.7407 0.5297
Cl 0.4523 0.1030 0.1390
Cl 0.5477 0.8970 0.8610
Cl 0.7690 0.2593 0.4703
Cl 0.9761 0.6353 0.1494
```


# Mg2HgCl

A relaxed Mg2HgCl crystal (PBE, the Alexandria database). Values from VASP.

raw total energy	-1.629	eV/atom
ρ	5.1	g/cm3
E above lowest polymorph	130	kJ/mol of formula units

Cell and atoms, written as Quantum ESPRESSO input:
```
&SYSTEM
  ibrav = 0, nat = 4, ntyp = 3
/
ATOMIC_SPECIES
Mg 24.30 Mg.upf
Hg 200.59 Hg.upf
Cl 35.45 Cl.upf
CELL_PARAMETERS angstrom
-2.3631 2.3631 4.1646
2.3631 -2.3631 4.1646
2.3631 2.3631 -4.1646
ATOMIC_POSITIONS crystal
Mg 0.2500 0.7500 0.5000
Mg 0.7500 0.2500 0.5000
Hg 0.0000 0.0000 0.0000
Cl 0.5000 0.5000 0.0000
```